## CdH6C10Br2N6 (PBE)

Data for a geometry-optimized CdH6C10Br2N6 structure.

abc: 11.734 11.734 7.377
angles: 98.21 98.21 18.56
Element x y z (fractional)
C  0.859  0.859  0.488
C  0.141  0.141  0.512
C  0.250  0.250  0.212
C  0.857  0.857  0.852
C  0.143  0.143  0.148
C  0.911  0.911  0.613
C  0.750  0.750  0.788
C  0.194  0.194  0.276
C  0.089  0.089  0.387
C  0.806  0.806  0.724
Br  0.544  0.544  0.783
Br  0.456  0.456  0.217
N  0.807  0.807  0.542
N  0.909  0.909  0.794
N  0.707  0.707  0.848
N  0.091  0.091  0.206
N  0.193  0.193  0.458
N  0.293  0.293  0.152
H  0.954  0.954  0.569
H  0.139  0.139  0.659
H  0.144  0.144  0.001
H  0.861  0.861  0.341
H  0.856  0.856  0.999
H  0.046  0.046  0.431
Cd  0.000  0.000  0.000

Output
V = 319.9 Å³/cell
uncorrected energy = -6.6098 eV per atom
space group = C2/m (12)

## HfZn2SnPd4 (PBE)

Data for a geometry-optimized HfZn2SnPd4 structure.

abc: 4.485 4.485 6.558
angles: 90.00 90.00 90.00
Element x y z (fractional)
Pd  0.500  0.000  0.747
Pd  0.000  0.500  0.253
Pd  0.000  0.500  0.747
Pd  0.500  0.000  0.253
Zn  0.000  0.000  0.000
Zn  0.500  0.500  0.500
Hf  0.000  0.000  0.500
Sn  0.500  0.500  0.000

Output
V = 131.9 Å³/cell
uncorrected energy = -5.2159 eV per atom
space group = P4/mmm (123)

## GaHgW (PBE)

Data for a geometry-optimized GaHgW structure.

abc: 4.362 4.362 4.362
angles: 60.00 60.00 60.00
Element x y z (fractional)
W  0.750  0.750  0.750
Ga  0.000  0.000  0.000
Hg  0.250  0.250  0.250

Output
V = 58.7 Å³/cell
uncorrected energy = -4.3736 eV per atom
space group = F-43m (216)

## AlIr3 (PBE)

Data for a geometry-optimized AlIr3 structure.

abc: 5.517 5.517 4.376
angles: 90.00 90.00 120.00
Element x y z (fractional)
Ir  0.664  0.832  0.250
Ir  0.832  0.664  0.750
Ir  0.336  0.168  0.750
Ir  0.168  0.832  0.250
Ir  0.832  0.168  0.750
Ir  0.168  0.336  0.250
Al  0.333  0.667  0.750
Al  0.667  0.333  0.250

Output
V = 115.4 Å³/cell
uncorrected energy = -7.9084 eV per atom
space group = P6_3/mmc (194)

## LiTaCoSi (PBE)

Data for a geometry-optimized LiTaCoSi structure.

abc: 4.139 4.139 4.139
angles: 60.00 60.00 60.00
Element x y z (fractional)
Co  0.750  0.750  0.750
Si  0.000  0.000  0.000
Li  0.250  0.250  0.250
Ta  0.500  0.500  0.500

Output
V = 50.1 Å³/cell
uncorrected energy = -6.7909 eV per atom
space group = F-43m (216)

## KYPdSe3 (PBE)

Data for a geometry-optimized KYPdSe3 structure.

abc: 8.856 4.167 9.750
angles: 90.00 108.23 90.00
Element x y z (fractional)
Y  0.680  0.750  0.141
Y  0.320  0.250  0.859
K  0.789  0.250  0.761
K  0.211  0.750  0.239
Se  0.213  0.250  0.538
Se  0.462  0.250  0.163
Se  0.902  0.250  0.140
Se  0.098  0.750  0.860
Se  0.538  0.750  0.837
Se  0.787  0.750  0.462
Pd  0.089  0.750  0.589
Pd  0.911  0.250  0.411

Output
V = 341.7 Å³/cell
uncorrected energy = -5.0315 eV per atom
space group = P2_1/m (11)

## YFeCuW (PBE)

Data for a geometry-optimized YFeCuW structure.

abc: 4.540 4.540 4.540
angles: 60.00 60.00 60.00
Element x y z (fractional)
W  0.500  0.500  0.500
Fe  0.000  0.000  0.000
Y  0.250  0.250  0.250
Cu  0.750  0.750  0.750

Output
V = 66.2 Å³/cell
space group = F-43m (216)
DFT formation energy = 3.3 eV/f.u.

## Cs3KAg (PBE)

Data for a geometry-optimized Cs3KAg structure.

abc: 7.428 9.068 13.813
angles: 77.46 74.45 65.83
Element x y z (fractional)
Cs  0.007  0.047  0.404
Cs  0.515  0.291  0.144
Cs  0.266  0.922  0.008
Cs  0.513  0.787  0.649
Cs  0.766  0.655  0.278
Cs  0.017  0.532  0.896
K  0.754  0.188  0.765
K  0.264  0.403  0.534
Ag  0.016  0.282  0.151
Ag  0.520  0.530  0.892

Output
V = 811.7 Å³/cell
uncorrected energy = -1.2627 eV per atom
space group = P1 (1)

## GdMgZnNi (PBE)

Data for a geometry-optimized GdMgZnNi structure.

abc: 5.264 5.264 7.430
angles: 90.00 90.00 134.06
Element x y z (fractional)
Mg  0.349  0.651  0.056
Mg  0.651  0.349  0.556
Gd  0.938  0.062  0.747
Gd  0.062  0.938  0.247
Ni  0.778  0.222  0.250
Ni  0.222  0.778  0.750
Zn  0.650  0.350  0.947
Zn  0.350  0.650  0.447

Output
V = 148.0 Å³/cell
uncorrected energy = -3.5845 eV per atom
space group = Cmc2_1 (36)

## HoSnTe (PBE)

Data for a geometry-optimized HoSnTe structure.

abc: 5.128 5.128 5.128
angles: 60.00 60.00 60.00
Element x y z (fractional)
Ho  0.250  0.250  0.250
Te  0.000  0.000  0.000
Sn  0.750  0.750  0.750

Output
V = 95.4 Å³/cell
uncorrected energy = -4.1842 eV per atom
space group = F-43m (216)

Question: Which formula does entry 9 have?
Answer: GdMgZnNi

Question: Which formula does entry 5 have?
Answer: LiTaCoSi